# 1
The following is a PBE calculation of a geometry-optimized Pr3Sm2Tm4 structure, from Alexandria.

Calculated values
- energy relative to the lowest polymorph listed for this composition (eV/f.u.) = 0.00

CIF file:
```
data_Pr3Sm2Tm4
_cell_length_a 16.996
_cell_length_b 5.706
_cell_length_c 6.536
_cell_angle_alpha 90.00
_cell_angle_beta 108.94
_cell_angle_gamma 90.00
_symmetry_space_group_name_H-M 'C 1 2/m 1'
_symmetry_Int_Tables_number 12
loop_
_symmetry_equiv_pos_as_xyz
'x,y,z'
'-x,-y,-z'
'-x,y,-z'
'x,-y,z'
'x+1/2,y+1/2,z'
'-x+1/2,-y+1/2,-z'
'-x+1/2,y+1/2,-z'
'x+1/2,-y+1/2,z'
loop_
_atom_site_label
_atom_site_fract_x
_atom_site_fract_y
_atom_site_fract_z
_atom_site_occupancy
Pr1 0.000 0.000 0.000 1
Pr2 0.135 0.000 0.582 1
Sm1 0.141 0.500 0.292 1
Tm1 0.067 0.500 0.749 1
Tm2 0.227 0.000 0.142 1
```

# 2
The following is a PBE calculation of a geometry-optimized PrSm4Tm7 structure, from Alexandria.

Calculated values
- energy relative to the lowest polymorph listed for this composition (eV/f.u.) = 3.08

CIF file:
```
data_PrSm4Tm7
_cell_length_a 12.111
_cell_length_b 5.852
_cell_length_c 12.662
_cell_angle_alpha 90.00
_cell_angle_beta 117.96
_cell_angle_gamma 90.00
_symmetry_space_group_name_H-M 'C 1 2/m 1'
_symmetry_Int_Tables_number 12
loop_
_symmetry_equiv_pos_as_xyz
'x,y,z'
'-x,-y,-z'
'-x,y,-z'
'x,-y,z'
'x+1/2,y+1/2,z'
'-x+1/2,-y+1/2,-z'
'-x+1/2,y+1/2,-z'
'x+1/2,-y+1/2,z'
loop_
_atom_site_label
_atom_site_fract_x
_atom_site_fract_y
_atom_site_fract_z
_atom_site_occupancy
Pr1 0.000 0.000 0.000 1
Sm1 0.134 0.500 0.776 1
Sm2 0.232 0.000 0.672 1
Tm1 0.000 0.500 0.000 1
Tm2 0.066 0.000 0.321 1
Tm3 0.133 0.500 0.498 1
Tm4 0.211 0.000 0.923 1
```

# 3
The following is a PBE calculation of a geometry-optimized Pr3SmTm12 structure, from Alexandria.

CIF file:
```
data_Pr3SmTm12
_cell_length_a 5.006
_cell_length_b 5.006
_cell_length_c 20.023
_cell_angle_alpha 90.00
_cell_angle_beta 90.00
_cell_angle_gamma 90.00
_symmetry_space_group_name_H-M 'P 4/m m m'
_symmetry_Int_Tables_number 123
_symmetry_space_group_name_Hall '-P 4 2'
loop_
_atom_site_label
_atom_site_fract_x
_atom_site_fract_y
_atom_site_fract_z
_atom_site_occupancy
Pr1 0.000 0.000 0.000 1
Pr2 0.000 0.000 0.250 1
Sm1 0.000 0.000 0.500 1
Tm1 0.000 0.500 0.125 1
Tm2 0.000 0.500 0.376 1
Tm3 0.500 0.500 0.000 1
Tm4 0.500 0.500 0.251 1
Tm5 0.500 0.500 0.500 1
```

# 4
The following is a PBE calculation of a geometry-optimized Pr2SmTm2 structure, from Alexandria.

Calculated values
- energy relative to the lowest polymorph listed for this composition (eV/f.u.) = 0.00

CIF file:
```
data_Pr2SmTm2
_cell_length_a 6.236
_cell_length_b 3.597
_cell_length_c 14.759
_cell_angle_alpha 90.00
_cell_angle_beta 90.03
_cell_angle_gamma 90.00
_symmetry_space_group_name_H-M 'C 1 2/m 1'
_symmetry_Int_Tables_number 12
loop_
_symmetry_equiv_pos_as_xyz
'x,y,z'
'-x,-y,-z'
'-x,y,-z'
'x,-y,z'
'x+1/2,y+1/2,z'
'-x+1/2,-y+1/2,-z'
'-x+1/2,y+1/2,-z'
'x+1/2,-y+1/2,z'
loop_
_atom_site_label
_atom_site_fract_x
_atom_site_fract_y
_atom_site_fract_z
_atom_site_occupancy
Pr1 0.168 0.000 0.392 1
Sm1 0.000 0.500 0.000 1
Tm1 0.166 0.000 0.805 1
```

# 5
The following is a PBE calculation of a geometry-optimized Pr5SmTm5 structure, from Alexandria.

CIF file:
```
data_Pr5SmTm5
_cell_length_a 19.011
_cell_length_b 5.991
_cell_length_c 7.076
_cell_angle_alpha 90.00
_cell_angle_beta 111.67
_cell_angle_gamma 90.00
_symmetry_space_group_name_H-M 'C 1 2/m 1'
_symmetry_Int_Tables_number 12
loop_
_symmetry_equiv_pos_as_xyz
'x,y,z'
'-x,-y,-z'
'-x,y,-z'
'x,-y,z'
'x+1/2,y+1/2,z'
'-x+1/2,-y+1/2,-z'
'-x+1/2,y+1/2,-z'
'x+1/2,-y+1/2,z'
loop_
_atom_site_label
_atom_site_fract_x
_atom_site_fract_y
_atom_site_fract_z
_atom_site_occupancy
Pr1 0.000 0.000 0.000 1
Pr2 0.176 0.500 0.421 1
Pr3 0.176 0.500 0.933 1
Sm1 0.000 0.500 0.000 1
Tm1 0.000 0.500 0.500 1
Tm2 0.121 0.000 0.622 1
Tm3 0.169 0.000 0.170 1
```

# 6
The following is a PBE calculation of a geometry-optimized Pr3Sm3Tm4 structure, from Alexandria.

CIF file:
```
data_Pr3Sm3Tm4
_cell_length_a 3.640
_cell_length_b 13.630
_cell_length_c 13.620
_cell_angle_alpha 90.00
_cell_angle_beta 90.00
_cell_angle_gamma 90.00
_symmetry_space_group_name_H-M 'A m m 2'
_symmetry_Int_Tables_number 38
loop_
_symmetry_equiv_pos_as_xyz
'x,y,z'
'-x,-y,z'
'-x,y,z'
'x,-y,z'
'x,y+1/2,z+1/2'
'-x,-y+1/2,z+1/2'
'-x,y+1/2,z+1/2'
'x,-y+1/2,z+1/2'
loop_
_atom_site_label
_atom_site_fract_x
_atom_site_fract_y
_atom_site_fract_z
_atom_site_occupancy
Pr1 0.000 0.000 0.000 1
Pr2 0.500 0.249 0.576 1
Sm1 0.000 0.000 0.650 1
Sm2 0.000 0.175 0.326 1
Tm1 0.500 0.000 0.205 1
Tm2 0.500 0.000 0.447 1
Tm3 0.500 0.122 0.823 1
```

Number 1: calculated volume 33.3 Å³/atom, final energy -40.87 eV per formula unit. Number 2: calculated volume 33.0 Å³/atom, final energy -51.77 eV per formula unit. Number 3: calculated volume 31.4 Å³/atom, final energy -72.24 eV per formula unit. Number 4: calculated volume 33.1 Å³/atom, final energy -23.07 eV per formula unit. Number 5: calculated volume 34.0 Å³/atom, final energy -48.13 eV per formula unit. Number 6: calculated volume 33.8 Å³/atom, final energy -45.52 eV per formula unit.